Record 1
PrGa2 after structural relaxation. Source: Alexandria via LeMat-Bulk, functional GGA-PBE.

```
PrGa2
1.0
6.166 0.000 0.000
0.000 5.945 0.000
-1.575 0.000 4.036
Pr Ga
2 4
Direct
0.000 0.000 0.000
0.500 0.500 0.000
0.116 0.500 0.313
0.384 0.000 0.687
0.616 0.000 0.313
0.884 0.500 0.687
```

Summary:
**Magnetization**: 0.00 μB per formula unit
**E**: -4.01 eV/atom


Record 2
BaH2S8 after structural relaxation. Source: Alexandria via LeMat-Bulk, functional GGA-PBE.

```
BaH2S8
1.0
4.907 0.000 0.000
1.651 5.028 0.000
2.011 0.297 11.532
Ba H S
1 2 8
Direct
0.000 0.000 0.000
0.076 0.911 0.701
0.924 0.089 0.299
0.129 0.166 0.340
0.268 0.308 0.759
0.389 0.785 0.375
0.396 0.384 0.910
0.604 0.616 0.090
0.611 0.215 0.625
0.732 0.692 0.241
0.871 0.834 0.660
```

Summary:
**Magnetization**: 0.00 μB per formula unit
**E**: -4.16 eV/atom


- Number 2 is which compound?
  BaH2S8